VASP calculation (GGA-PBEsol) on a relaxed structure of SrLa2Os.

Structure (POSCAR):
```
SrLa2Os
1.0
4.195 0.000 0.000
-2.097 3.633 -0.042
0.000 -2.299 9.695
Sr Os La
1 1 2
Direct
0.500 0.000 0.000 Sr
0.000 0.000 0.500 Os
0.716 0.432 0.649 La
0.284 0.568 0.351 La
```

* E: -0.227 Ha/atom
* magnetic moment: 0.000 μB per atom
* crystal system: monoclinic
* space-group type: C2/m, No. 12
* polymorph energy (0 for the lowest one): 0.00 eV per formula unit

=====

VASP calculation (GGA-PBEsol) on a relaxed structure of Be2Nb2W.

Structure (POSCAR):
```
Be2Nb2W
1.0
3.302 0.000 0.000
0.000 6.373 0.000
0.000 0.000 6.373
Be Nb W
4 4 2
Direct
0.000 0.384 0.884 Be
0.000 0.884 0.616 Be
0.000 0.616 0.116 Be
0.000 0.116 0.384 Be
0.500 0.180 0.680 Nb
0.500 0.680 0.820 Nb
0.500 0.820 0.320 Nb
0.500 0.320 0.180 Nb
0.000 0.000 0.000 W
0.000 0.500 0.500 W
```

* E: -0.326 Ha/atom
* magnetic moment: 0.000 μB per atom
* crystal system: tetragonal
* space-group type: P4/mbm, No. 127

=====

VASP calculation (GGA-PBEsol) on a relaxed structure of Ca2TiO4.

Structure (POSCAR):
```
Ca2TiO4
1.0
-2.049 -2.219 2.329
2.496 -2.838 -0.509
2.924 4.469 3.707
Ca O Ti
2 4 1
Direct
0.354 0.354 0.708 Ca
0.646 0.646 0.292 Ca
0.166 0.166 0.333 O
0.834 0.834 0.667 O
0.500 0.000 0.000 O
0.000 0.500 0.000 O
0.000 0.000 0.000 Ti
```

* E: -0.290 Ha/atom
* formation energy without anion corrections: -3105 meV/atom
* magnetic moment: 0.000 μB per atom
* crystal system: tetragonal
* space-group type: I4/mmm, No. 139

=====

VASP calculation (GGA-PBEsol) on a relaxed structure of Ca2HgCl.

Structure (POSCAR):
```
Ca2HgCl
1.0
3.916 0.000 0.000
1.958 5.493 0.017
1.958 1.795 5.192
Ca Hg Cl
2 1 1
Direct
0.219 0.781 0.781 Ca
0.781 0.219 0.219 Ca
0.000 0.500 0.500 Hg
0.500 0.000 0.000 Cl
```

* E: -0.096 Ha/atom
* formation energy without anion corrections: -911 meV/atom
* magnetic moment: 0.000 μB per atom
* crystal system: orthorhombic
* space-group type: Immm, No. 71
* polymorph energy (0 for the lowest one): 0.22 eV per formula unit

=====

VASP calculation (GGA-PBEsol) on a relaxed structure of KNa3Au.

Structure (POSCAR):
```
KNa3Au
1.0
-0.062 -5.299 2.127
2.227 -1.981 -4.871
5.258 0.777 2.088
Na K Au
3 1 1
Direct
0.000 0.500 0.000 Na
0.000 0.000 0.500 Na
0.500 0.000 0.000 Na
0.500 0.500 0.500 K
0.000 0.000 0.000 Au
```

* E: -0.070 Ha/atom
* magnetic moment: 0.000 μB per atom
* crystal system: cubic
* space-group type: Pm-3m, No. 221

=====

VASP calculation (GGA-PBEsol) on a relaxed structure of GeMoPd2W.

Structure (POSCAR):
```
GeMoPd2W
1.0
-1.106 3.763 2.497
-4.219 0.044 -1.935
-1.590 -2.726 3.404
Mo Ge Pd W
1 1 2 1
Direct
0.000 0.000 0.000 Mo
0.500 0.000 0.000 Ge
0.000 0.000 0.500 Pd
0.000 0.500 0.000 Pd
0.500 0.500 0.500 W
```

* E: -0.247 Ha/atom
* magnetic moment: 0.512 μB per atom
* crystal system: tetragonal
* space-group type: P4/mmm, No. 123

=====

VASP calculation (GGA-PBEsol) on a relaxed structure of ZnCd3.

Structure (POSCAR):
```
ZnCd3
1.0
2.855 0.000 0.000
0.000 4.974 0.000
-1.428 -2.487 5.515
Zn Cd
1 3
Direct
0.500 0.151 0.000 Zn
0.223 0.247 0.446 Cd
0.000 0.635 0.000 Cd
0.777 0.800 0.554 Cd
```

* E: -0.046 Ha/atom
* magnetic moment: 0.000 μB per atom
* crystal system: orthorhombic
* space-group type: Imm2, No. 44

=====

VASP calculation (GGA-PBEsol) on a relaxed structure of Li8HfO6.

Structure (POSCAR):
```
Li8HfO6
1.0
-4.827 1.095 2.241
-4.129 -3.480 -0.606
-1.561 -3.225 4.801
Hf O Li
1 6 8
Direct
0.000 0.000 0.000 Hf
0.908 0.614 0.243 O
0.765 0.092 0.757 O
0.386 0.765 0.757 O
0.614 0.235 0.243 O
0.235 0.908 0.243 O
0.092 0.386 0.757 O
0.765 0.496 0.636 Li
0.897 0.235 0.364 Li
0.504 0.897 0.364 Li
0.344 0.344 0.969 Li
0.656 0.656 0.031 Li
0.496 0.103 0.636 Li
0.103 0.765 0.636 Li
0.235 0.504 0.364 Li
```

* E: -0.225 Ha/atom
* formation energy without anion corrections: -2266 meV/atom
* magnetic moment: 0.000 μB per atom
* crystal system: trigonal
* space-group type: R-3, No. 148
* polymorph energy (0 for the lowest one): 0.00 eV per formula unit

=====

VASP calculation (GGA-PBEsol) on a relaxed structure of K3SeN.

Structure (POSCAR):
```
K3SeN
1.0
-0.238 3.262 5.186
-2.064 -4.929 3.005
5.768 -1.629 1.290
K Se N
3 1 1
Direct
0.000 0.500 0.000 K
0.000 0.000 0.500 K
0.500 0.000 0.000 K
0.000 0.000 0.000 Se
0.500 0.500 0.500 N
```

* E: -0.106 Ha/atom
* formation energy without anion corrections: 265 meV/atom
* magnetic moment: 0.400 μB per atom
* crystal system: cubic
* space-group type: Pm-3m, No. 221

=====

VASP calculation (GGA-PBEsol) on a relaxed structure of Zr2PbW.

Structure (POSCAR):
```
Zr2PbW
1.0
4.816 0.000 0.000
2.408 4.171 0.000
2.408 1.390 3.932
Pb W Zr
1 1 2
Direct
0.500 0.500 0.500 Pb
0.250 0.250 0.250 W
0.000 0.000 0.000 Zr
0.750 0.750 0.750 Zr
```

* E: -0.320 Ha/atom
* magnetic moment: 0.000 μB per atom
* crystal system: cubic
* space-group type: F-43m, No. 216

=====

VASP calculation (GGA-PBEsol) on a relaxed structure of Tl2NiAs.

Structure (POSCAR):
```
Tl2NiAs
1.0
-0.593 3.311 -1.974
-3.535 0.960 2.672
2.754 2.195 2.855
As Ni Tl
1 1 2
Direct
0.500 0.500 0.500 As
0.500 0.000 0.000 Ni
0.000 0.000 0.500 Tl
0.000 0.500 0.000 Tl
```

* E: -0.136 Ha/atom
* magnetic moment: 0.000 μB per atom
* crystal system: tetragonal
* space-group type: P4/mmm, No. 123
* polymorph energy (0 for the lowest one): 2.00 eV per formula unit

=====

VASP calculation (GGA-PBEsol) on a relaxed structure of Dy2Ga9Ir3.

Structure (POSCAR):
```
Dy2Ga9Ir3
1.0
-1.854 5.448 -4.760
-5.209 -2.968 4.453
1.961 6.398 6.558
Dy Ga Ir
4 18 6
Direct
0.670 0.997 0.750 Dy
0.330 0.003 0.250 Dy
0.997 0.670 0.750 Dy
0.003 0.330 0.250 Dy
0.130 0.130 0.750 Ga
0.870 0.870 0.250 Ga
0.335 0.000 0.920 Ga
0.665 0.000 0.080 Ga
0.665 0.000 0.420 Ga
0.000 0.335 0.580 Ga
0.335 0.000 0.580 Ga
0.000 0.665 0.420 Ga
0.000 0.665 0.080 Ga
0.000 0.335 0.920 Ga
0.332 0.332 0.434 Ga
0.668 0.668 0.566 Ga
0.668 0.668 0.934 Ga
0.332 0.332 0.066 Ga
0.546 0.339 0.750 Ga
0.454 0.661 0.250 Ga
0.339 0.546 0.750 Ga
0.661 0.454 0.250 Ga
0.328 0.672 0.000 Ir
0.672 0.328 0.000 Ir
0.672 0.328 0.500 Ir
0.328 0.672 0.500 Ir
0.000 0.000 0.000 Ir
0.000 0.000 0.500 Ir
```

* E: -0.209 Ha/atom
* magnetic moment: 0.000 μB per atom
* crystal system: orthorhombic
* space-group type: Cmcm, No. 63